Model w:
{
  "formula": "Y2Tm2Mg",
  "functional": "GGA-PBE",
  "state": "optimized geometry",
  "lattice": [[-4.146, -1.174, -2.733], [-2.565, -0.960, 4.305], [-0.297, 12.890, -0.325]],
  "species": ["Y", "Y", "Y", "Y", "Tm", "Tm", "Tm", "Tm", "Mg", "Mg"],
  "fractional_positions": [[0.422, 0.922, 0.844], [0.672, 0.672, 0.344], [0.328, 0.328, 0.656], [0.078, 0.578, 0.156], [0.826, 0.826, 0.651], [0.576, 0.076, 0.151], [0.924, 0.424, 0.849], [0.174, 0.174, 0.349], [0.500, 0.500, 0.000], [0.250, 0.750, 0.500]]
}

Model x:
{
  "formula": "Y2Tm2Mg",
  "functional": "GGA-PBE",
  "state": "optimized geometry",
  "lattice": [[-2.085, -2.865, 0.196], [3.873, -3.165, -5.050], [5.170, -0.749, 11.937]],
  "species": ["Y", "Y", "Y", "Y", "Tm", "Tm", "Tm", "Tm", "Mg", "Mg"],
  "fractional_positions": [[0.406, 0.858, 0.811], [0.406, 0.358, 0.811], [0.594, 0.142, 0.189], [0.594, 0.642, 0.189], [0.199, 0.548, 0.398], [0.801, 0.952, 0.602], [0.801, 0.452, 0.602], [0.199, 0.048, 0.398], [0.000, 0.250, 0.000], [0.000, 0.750, 0.000]]
}

Winner for stability: model x

Model w:
{
  "formula": "YTm6Mg",
  "functional": "GGA-PBE",
  "state": "optimized geometry",
  "lattice": [[-3.351, 1.784, 3.208], [-5.100, -2.338, -4.027], [0.072, -6.002, 3.415]],
  "species": ["Y", "Tm", "Tm", "Tm", "Tm", "Tm", "Tm", "Mg"],
  "fractional_positions": [[0.500, 0.500, 0.500], [0.500, 0.000, 0.500], [0.500, 0.500, 0.000], [0.000, 0.252, 0.252], [0.000, 0.748, 0.748], [0.000, 0.747, 0.253], [0.000, 0.253, 0.747], [0.500, 0.000, 0.000]]
}

Model x:
{
  "formula": "YTm6Mg",
  "functional": "GGA-PBE",
  "state": "optimized geometry",
  "lattice": [[-6.869, -4.272, -2.319], [-0.804, -4.447, -8.135], [-0.815, -5.878, -2.031]],
  "species": ["Y", "Tm", "Tm", "Tm", "Tm", "Tm", "Tm", "Mg"],
  "fractional_positions": [[0.500, 0.500, 0.500], [0.954, 0.504, 0.787], [0.756, 0.954, 0.794], [0.503, 0.244, 0.299], [0.244, 0.046, 0.206], [0.046, 0.496, 0.213], [0.497, 0.756, 0.701], [0.000, 0.000, 0.000]]
}

Winner for stability: model w

Model w:
{
  "formula": "Y4TmMg2",
  "functional": "GGA-PBE",
  "state": "optimized geometry",
  "lattice": [[1.205, -5.202, 1.045], [1.048, -3.426, -4.096], [8.517, -0.994, -0.604]],
  "species": ["Y", "Y", "Y", "Y", "Tm", "Mg", "Mg"],
  "fractional_positions": [[0.846, 0.846, 0.463], [0.154, 0.154, 0.537], [0.575, 0.575, 0.275], [0.425, 0.425, 0.725], [0.000, 0.000, 0.000], [0.712, 0.712, 0.865], [0.288, 0.288, 0.135]]
}

Model x:
{
  "formula": "Y4TmMg2",
  "functional": "GGA-PBE",
  "state": "optimized geometry",
  "lattice": [[-4.804, -2.666, -0.825], [-0.316, -5.481, 0.850], [-3.921, -1.299, 8.319]],
  "species": ["Y", "Y", "Y", "Y", "Tm", "Mg", "Mg"],
  "fractional_positions": [[0.743, 0.743, 0.770], [0.871, 0.871, 0.388], [0.257, 0.257, 0.230], [0.129, 0.129, 0.612], [0.500, 0.500, 0.500], [0.621, 0.621, 0.136], [0.379, 0.379, 0.864]]
}

Winner for stability: model w

Model w:
{
  "formula": "Y5TmMg",
  "functional": "GGA-PBE",
  "state": "optimized geometry",
  "lattice": [[-2.014, -6.440, -5.086], [-3.320, -7.693, 1.089], [-11.191, -4.758, -3.334]],
  "species": ["Y", "Y", "Y", "Y", "Y", "Y", "Y", "Y", "Y", "Y", "Tm", "Tm", "Mg", "Mg"],
  "fractional_positions": [[0.762, 0.749, 0.074], [0.335, 0.346, 0.595], [0.749, 0.762, 0.574], [0.242, 0.758, 0.250], [0.654, 0.665, 0.905], [0.346, 0.335, 0.095], [0.758, 0.242, 0.750], [0.251, 0.238, 0.426], [0.665, 0.654, 0.405], [0.238, 0.251, 0.926], [0.752, 0.248, 0.250], [0.248, 0.752, 0.750], [0.000, 0.000, 0.000], [0.000, 0.000, 0.500]]
}

Model x:
{
  "formula": "Y5TmMg",
  "functional": "GGA-PBE",
  "state": "optimized geometry",
  "lattice": [[-5.909, -0.818, -0.573], [-3.610, -5.863, 4.426], [-4.934, 2.614, 5.985]],
  "species": ["Y", "Y", "Y", "Y", "Y", "Tm", "Mg"],
  "fractional_positions": [[0.516, 0.249, 0.249], [0.000, 0.321, 0.679], [0.500, 0.000, 0.000], [0.000, 0.679, 0.321], [0.484, 0.751, 0.751], [0.500, 0.500, 0.500], [0.000, 0.000, 0.000]]
}

Winner for stability: model w

Model w:
{
  "formula": "Y2TmMg4",
  "functional": "GGA-PBE",
  "state": "optimized geometry",
  "lattice": [[5.519, 0.000, 0.000], [0.000, 5.519, 0.000], [-2.759, -2.759, 8.029]],
  "species": ["Y", "Y", "Tm", "Mg", "Mg", "Mg", "Mg"],
  "fractional_positions": [[0.604, 0.604, 0.209], [0.396, 0.396, 0.791], [0.000, 0.000, 0.000], [0.812, 0.812, 0.624], [0.188, 0.188, 0.376], [0.000, 0.500, 0.000], [0.500, 0.000, 0.000]]
}

Model x:
{
  "formula": "Y2TmMg4",
  "functional": "GGA-PBE",
  "state": "optimized geometry",
  "lattice": [[5.154, 0.000, -1.643], [-0.524, 5.128, -1.643], [-0.270, -0.299, 8.058]],
  "species": ["Y", "Y", "Tm", "Mg", "Mg", "Mg", "Mg"],
  "fractional_positions": [[0.749, 0.749, 0.499], [0.251, 0.251, 0.501], [0.000, 0.000, 0.000], [0.384, 0.884, 0.768], [0.884, 0.384, 0.768], [0.616, 0.116, 0.232], [0.116, 0.616, 0.232]]
}

Winner for stability: model x

Model w:
{
  "formula": "Y2TmMg2",
  "functional": "GGA-PBE",
  "state": "optimized geometry",
  "lattice": [[5.212, 0.000, 0.000], [2.606, 5.340, -0.186], [2.606, 1.251, 5.195]],
  "species": ["Y", "Y", "Tm", "Mg", "Mg"],
  "fractional_positions": [[0.198, 0.302, 0.302], [0.802, 0.698, 0.698], [0.000, 0.000, 0.000], [0.500, 0.290, 0.710], [0.500, 0.710, 0.290]]
}

Model x:
{
  "formula": "Y2TmMg2",
  "functional": "GGA-PBE",
  "state": "optimized geometry",
  "lattice": [[-0.227, -0.952, -3.611], [5.400, -0.076, -0.319], [0.135, -12.936, 5.341]],
  "species": ["Y", "Y", "Y", "Y", "Tm", "Tm", "Mg", "Mg", "Mg", "Mg"],
  "fractional_positions": [[0.045, 0.750, 0.090], [0.955, 0.250, 0.910], [0.237, 0.750, 0.474], [0.763, 0.250, 0.526], [0.849, 0.750, 0.697], [0.151, 0.250, 0.303], [0.640, 0.750, 0.281], [0.360, 0.250, 0.719], [0.446, 0.750, 0.892], [0.554, 0.250, 0.108]]
}

Winner for stability: model x

Model w:
{
  "formula": "Y4TmMg",
  "functional": "GGA-PBE",
  "state": "optimized geometry",
  "lattice": [[-2.758, 1.053, -2.027], [1.831, -0.880, -2.949], [-5.441, -13.180, 0.556]],
  "species": ["Y", "Y", "Y", "Y", "Tm", "Mg"],
  "fractional_positions": [[0.500, 0.500, 0.827], [0.500, 0.500, 0.173], [0.000, 0.000, 0.652], [0.000, 0.000, 0.348], [0.000, 0.000, 0.000], [0.500, 0.500, 0.500]]
}

Model x:
{
  "formula": "Y4TmMg",
  "functional": "GGA-PBE",
  "state": "optimized geometry",
  "lattice": [[8.733, 0.438, 0.000], [-0.983, 6.429, 0.000], [-3.875, -3.433, 6.531]],
  "species": ["Y", "Y", "Y", "Y", "Y", "Y", "Y", "Y", "Tm", "Tm", "Mg", "Mg"],
  "fractional_positions": [[0.232, 0.998, 0.641], [0.975, 0.740, 0.115], [0.091, 0.357, 0.359], [0.361, 0.625, 0.885], [0.768, 0.002, 0.359], [0.909, 0.643, 0.641], [0.025, 0.260, 0.885], [0.639, 0.375, 0.115], [0.659, 0.909, 0.818], [0.341, 0.091, 0.182], [0.409, 0.659, 0.319], [0.591, 0.341, 0.681]]
}

Winner for stability: model w

Model w:
{
  "formula": "Y6Tm2Mg",
  "functional": "GGA-PBE",
  "state": "optimized geometry",
  "lattice": [[-2.484, -4.365, 0.469], [2.270, -0.190, 10.263], [-8.864, 5.266, 2.058]],
  "species": ["Y", "Y", "Y", "Y", "Y", "Y", "Y", "Y", "Y", "Y", "Y", "Y", "Tm", "Tm", "Tm", "Tm", "Mg", "Mg"],
  "fractional_positions": [[0.000, 0.002, 0.168], [0.000, 0.668, 0.503], [0.000, 0.662, 0.838], [0.500, 0.162, 0.662], [0.500, 0.168, 0.997], [0.500, 0.502, 0.332], [0.000, 0.998, 0.832], [0.000, 0.332, 0.497], [0.000, 0.338, 0.162], [0.500, 0.838, 0.338], [0.500, 0.832, 0.003], [0.500, 0.498, 0.668], [0.000, 0.330, 0.829], [0.500, 0.830, 0.671], [0.500, 0.170, 0.329], [0.000, 0.670, 0.171], [0.500, 0.500, 0.000], [0.000, 0.000, 0.500]]
}

Model x:
{
  "formula": "Y6Tm2Mg",
  "functional": "GGA-PBE",
  "state": "optimized geometry",
  "lattice": [[-1.702, 3.013, 0.182], [-5.615, -1.095, -1.398], [2.840, 2.597, 16.562]],
  "species": ["Y", "Y", "Y", "Y", "Y", "Y", "Tm", "Tm", "Mg"],
  "fractional_positions": [[0.435, 0.191, 0.939], [0.565, 0.809, 0.061], [0.775, 0.177, 0.272], [0.100, 0.199, 0.601], [0.225, 0.823, 0.728], [0.900, 0.801, 0.399], [0.832, 0.505, 0.830], [0.168, 0.495, 0.170], [0.500, 0.500, 0.500]]
}

Winner for stability: model w

Model w:
{
  "formula": "Y7Tm2Mg2",
  "functional": "GGA-PBE",
  "state": "optimized geometry",
  "lattice": [[3.090, -1.278, -1.616], [-0.768, 11.158, 2.506], [0.533, 3.831, 10.789]],
  "species": ["Y", "Y", "Y", "Y", "Y", "Y", "Y", "Tm", "Tm", "Mg", "Mg"],
  "fractional_positions": [[0.510, 0.067, 0.606], [0.490, 0.394, 0.933], [0.490, 0.933, 0.394], [0.510, 0.606, 0.067], [0.000, 0.000, 0.000], [0.034, 0.678, 0.678], [0.966, 0.322, 0.322], [0.500, 0.695, 0.305], [0.500, 0.305, 0.695], [0.011, 0.837, 0.837], [0.989, 0.163, 0.163]]
}

Model x:
{
  "formula": "Y7Tm2Mg2",
  "functional": "GGA-PBE",
  "state": "optimized geometry",
  "lattice": [[5.347, 1.109, 1.601], [0.250, 7.931, 1.698], [0.250, -1.195, 8.022]],
  "species": ["Y", "Y", "Y", "Y", "Y", "Y", "Y", "Tm", "Tm", "Mg", "Mg"],
  "fractional_positions": [[0.183, 0.016, 0.603], [0.817, 0.397, 0.984], [0.817, 0.984, 0.397], [0.183, 0.603, 0.016], [0.000, 0.000, 0.000], [0.672, 0.779, 0.779], [0.328, 0.221, 0.221], [0.500, 0.221, 0.779], [0.500, 0.779, 0.221], [0.784, 0.444, 0.444], [0.216, 0.556, 0.556]]
}

Winner for stability: model w

Model w:
{
  "formula": "Tm4MgZn2",
  "functional": "GGA-PBE",
  "state": "optimized geometry",
  "lattice": [[4.792, 0.000, 1.497], [2.162, 4.277, 1.497], [-0.003, -0.002, 8.428]],
  "species": ["Tm", "Tm", "Tm", "Tm", "Mg", "Zn", "Zn"],
  "fractional_positions": [[0.866, 0.866, 0.401], [0.134, 0.134, 0.599], [0.611, 0.611, 0.167], [0.389, 0.389, 0.833], [0.000, 0.000, 0.000], [0.741, 0.741, 0.778], [0.259, 0.259, 0.222]]
}

Model x:
{
  "formula": "Tm4MgZn2",
  "functional": "GGA-PBE",
  "state": "optimized geometry",
  "lattice": [[-4.475, 0.980, -1.994], [-2.087, -3.248, -3.171], [-6.022, -4.769, 4.912]],
  "species": ["Tm", "Tm", "Tm", "Tm", "Mg", "Zn", "Zn"],
  "fractional_positions": [[0.382, 0.382, 0.855], [0.209, 0.209, 0.372], [0.791, 0.791, 0.628], [0.618, 0.618, 0.145], [0.000, 0.000, 0.000], [0.098, 0.098, 0.706], [0.902, 0.902, 0.294]]
}

Winner for stability: model w

Model w:
{
  "formula": "Tm4Mg3Zn",
  "functional": "GGA-PBE",
  "state": "optimized geometry",
  "lattice": [[3.364, 0.000, 0.000], [0.000, 4.958, 0.000], [0.000, 0.000, 12.287]],
  "species": ["Tm", "Tm", "Tm", "Tm", "Mg", "Mg", "Mg", "Zn"],
  "fractional_positions": [[0.500, 0.500, 0.317], [0.000, 0.500, 0.838], [0.000, 0.000, 0.164], [0.500, 0.000, 0.677], [0.000, 0.500, 0.565], [0.000, 0.000, 0.431], [0.500, 0.000, 0.940], [0.500, 0.500, 0.068]]
}

Model x:
{
  "formula": "Tm4Mg3Zn",
  "functional": "GGA-PBE",
  "state": "optimized geometry",
  "lattice": [[3.637, 0.000, 0.000], [0.000, 3.637, 0.000], [0.000, 0.000, 15.260]],
  "species": ["Mg", "Mg", "Mg", "Tm", "Tm", "Tm", "Tm", "Zn"],
  "fractional_positions": [[0.500, 0.500, 0.242], [0.500, 0.500, 0.500], [0.500, 0.500, 0.758], [0.000, 0.000, 0.890], [0.000, 0.000, 0.110], [0.000, 0.000, 0.370], [0.000, 0.000, 0.630], [0.500, 0.500, 0.000]]
}

Winner for stability: model x

Model w:
{
  "formula": "TmMgZn2",
  "functional": "GGA-PBE",
  "state": "optimized geometry",
  "lattice": [[-3.637, -2.502, -1.854], [0.856, -3.442, -3.216], [-0.600, -4.597, 1.197]],
  "species": ["Zn", "Zn", "Tm", "Mg"],
  "fractional_positions": [[0.250, 0.250, 0.250], [0.750, 0.750, 0.750], [0.000, 0.000, 0.000], [0.500, 0.500, 0.500]]
}

Model x:
{
  "formula": "TmMgZn2",
  "functional": "GGA-PBE",
  "state": "optimized geometry",
  "lattice": [[3.555, 0.000, 0.000], [0.000, 4.764, 0.000], [0.000, 0.000, 4.764]],
  "species": ["Zn", "Zn", "Tm", "Mg"],
  "fractional_positions": [[0.000, 0.000, 0.500], [0.000, 0.500, 0.000], [0.500, 0.500, 0.500], [0.500, 0.000, 0.000]]
}

Winner for stability: model w